Entry 1:
# Rb2UMnSe4, relaxed, DFT PBE
# - uncorrected energy (eV/atom) = -5.495
# - formation energy from raw total energies (meV/atom) = -953.8
# - ρ (g/cm3) = 5.43
data_Rb2UMnSe4
_chemical_formula_sum 'Rb4 U2 Mn2 Se8'
_cell_length_a 8.7313
_cell_length_b 8.7567
_cell_length_c 8.7657
_cell_angle_alpha 60.23
_cell_angle_beta 60.17
_cell_angle_gamma 90.00
_symmetry_space_group_name_H-M 'P -1'
_symmetry_Int_Tables_number 2
_symmetry_space_group_name_Hall '-P 1'
loop_
_atom_site_label
_atom_site_fract_x
_atom_site_fract_y
_atom_site_fract_z
_atom_site_occupancy
Rb1 0.0000 0.0000 0.0000 1
Rb2 0.0000 0.0000 0.5000 1
Rb3 0.0000 0.5000 0.0000 1
Rb4 0.5000 0.0000 0.5000 1
U1 0.0000 0.5000 0.5000 1
U2 0.5000 0.5000 0.5000 1
Mn1 0.5000 0.0000 0.0000 1
Mn2 0.5000 0.5000 0.0000 1
Se1 0.2654 0.3024 0.4691 1
Se2 0.2653 0.7286 0.4689 1
Se3 0.2759 0.7284 0.0432 1
Se4 0.3193 0.2703 0.9580 1

=====

Entry 2:
# CdAgHgCl6, relaxed, DFT PBE
# - uncorrected energy (eV/atom) = -2.309
# - formation energy from raw total energies (meV/atom) = -625.8
# - ρ (g/cm3) = 4.11
data_CdAgHgCl6
_chemical_formula_sum 'Cd2 Ag2 Hg2 Cl12'
_cell_length_a 6.7042
_cell_length_b 6.7042
_cell_length_c 11.3919
_cell_angle_alpha 90.00
_cell_angle_beta 90.00
_cell_angle_gamma 90.00
_symmetry_space_group_name_H-M 'P 42 n m'
_symmetry_Int_Tables_number 102
_symmetry_space_group_name_Hall 'P 4n -2n'
loop_
_atom_site_label
_atom_site_fract_x
_atom_site_fract_y
_atom_site_fract_z
_atom_site_occupancy
Cd1 0.0000 0.0000 0.0000 1
Ag1 0.0000 0.0000 0.3336 1
Hg1 0.0000 0.0000 0.6702 1
Cl1 0.1785 0.1785 0.1727 1
Cl2 0.1814 0.1814 0.4946 1
Cl3 0.1856 0.1856 0.8368 1

=====

Entry 3:
# LiIn2Sb, relaxed, DFT PBE
# - uncorrected energy (eV/atom) = -3.008
# - formation energy from raw total energies (meV/atom) = -129.9
# - ρ (g/cm3) = 6.03
data_LiIn2Sb
_chemical_formula_sum 'Li2 In4 Sb2'
_cell_length_a 10.8108
_cell_length_b 3.2871
_cell_length_c 5.6997
_cell_angle_alpha 90.00
_cell_angle_beta 103.10
_cell_angle_gamma 90.00
_symmetry_space_group_name_H-M 'C 1 m 1'
_symmetry_Int_Tables_number 8
_symmetry_space_group_name_Hall 'C -2y'
loop_
_atom_site_label
_atom_site_fract_x
_atom_site_fract_y
_atom_site_fract_z
_atom_site_occupancy
Li1 0.0000 0.0000 0.0000 1
In1 0.2335 0.5000 0.2676 1
In2 0.4973 0.0000 0.5019 1
Sb1 0.2710 0.0000 0.7915 1